P:
First-principles (PBE) data for a relaxed PmZnAu crystal, as listed in the Alexandria database.

The space group is F-43m (No. 216) and the conventional cell measures 6.7342, 6.7342 and 6.7342 Å, with angles of 90.00, 90.00 and 90.00 degrees. The inequivalent atoms are Pm at (0.0000, 0.0000, 0.0000), Zn at (0.0000, 0.0000, 0.5000) and Au at (0.2500, 0.2500, 0.2500).


Q:
First-principles (PBE) data for a relaxed PmZnAu crystal, as listed in the Alexandria database.

The space group is I4mm (No. 107) and the conventional cell measures 3.6553, 3.6553 and 9.8662 Å, with angles of 90.00, 90.00 and 90.00 degrees. The inequivalent atoms are Pm at (0.0000, 0.0000, 0.0000), Zn at (0.0000, 0.0000, 0.6850) and Au at (0.0000, 0.0000, 0.3151).


R:
First-principles (PBE) data for a relaxed PmZnAu crystal, as listed in the Alexandria database.

The space group is P6_3/mmc (No. 194) and the conventional cell measures 4.6319, 4.6319 and 7.1094 Å, with angles of 90.00, 90.00 and 120.00 degrees. The inequivalent atoms are Pm at (0.0000, 0.0000, 0.0000), Zn at (0.3333, 0.6667, 0.2500) and Au at (0.3333, 0.6667, 0.7500).


S:
First-principles (PBE) data for a relaxed PmZnAu crystal, as listed in the Alexandria database.

The space group is C2/m (No. 12) and the conventional cell measures 10.5735, 4.6267 and 7.0785 Å, with angles of 90.00, 130.66 and 90.00 degrees. The inequivalent atoms are Pm at (0.0306, 0.0000, 0.2863), Zn at (0.1597, 0.5000, 0.1158) and Au at (0.1766, 0.5000, 0.7091).


Stability summary: most stable R, least stable P.


P:
First-principles (PBE) data for a relaxed Pm3ZnAu3 crystal, as listed in the Alexandria database.

The space group is C2/m (No. 12) and the conventional cell measures 10.9110, 4.1807 and 15.7474 Å, with angles of 90.00, 107.54 and 90.00 degrees. The inequivalent atoms are Pm at (0.0241, 0.0000, 0.3878), Pm at (0.1030, 0.0000, 0.9218), Pm at (0.2379, 0.0000, 0.2314), Zn at (0.2301, 0.5000, 0.3859), Au at (0.0201, 0.5000, 0.2337), Au at (0.1196, 0.5000, 0.0772) and Au at (0.1416, 0.5000, 0.5418).


Q:
First-principles (PBE) data for a relaxed Pm3ZnAu3 crystal, as listed in the Alexandria database.

The space group is P6_3/m (No. 176) and the conventional cell measures 8.8671, 8.8671 and 6.0022 Å, with angles of 90.00, 90.00 and 120.00 degrees. The inequivalent atoms are Pm at (0.0416, 0.3672, 0.2500), Zn at (0.3333, 0.6667, 0.7500) and Au at (0.0396, 0.3472, 0.7500).


Stability summary: most stable P, least stable Q.